# 1
The following is a PBE-GGA calculation of an optimized crystal structure of ErTcOsW, from the Alexandria database.

a b c (Å): 6.462 6.462 6.462
angles (deg): 90.00 90.00 90.00
Space group F-43m (No. 216)
Unique sites:
Er: 0.000 0.000 0.000
Tc: 0.250 0.250 0.750
Os: 0.250 0.250 0.250
W: 0.000 0.000 0.500

## Properties
DFT formation energy   -34 meV/atom
DFT total energy   -9.812 eV/atom
Total magnetic moment   0.00 μB/atom
Fermi-level density of states   0.428 states/eV/atom
ρ   15.7 g cm⁻³

=====

# 2
The following is a PBE-GGA calculation of an optimized crystal structure of YTa2BAu, from the Alexandria database.

a b c (Å): 4.387 4.387 4.861
angles (deg): 90.00 90.00 90.00
Space group P4/mmm (No. 123)
Unique sites:
Y: 0.000 0.000 0.000
Ta: 0.000 0.500 0.500
B: 0.000 0.000 0.500
Au: 0.500 0.500 0.000

## Properties
DFT formation energy   17 meV/atom
DFT total energy   -8.008 eV/atom
Total magnetic moment   0.00 μB/atom
Fermi-level density of states   1.351 states/eV/atom
ρ   11.7 g cm⁻³

=====

# 3
The following is a PBE-GGA calculation of an optimized crystal structure of SrMg2TlPd, from the Alexandria database.

a b c (Å): 5.099 5.099 5.345
angles (deg): 90.00 90.00 90.00
Space group P4/mmm (No. 123)
Unique sites:
Sr: 0.000 0.000 0.000
Mg: 0.000 0.500 0.500
Tl: 0.500 0.500 0.000
Pd: 0.500 0.500 0.500

## Properties
DFT formation energy   -281 meV/atom
DFT total energy   -2.767 eV/atom
Total magnetic moment   0.00 μB/atom
Fermi-level density of states   0.667 states/eV/atom
ρ   5.3 g cm⁻³

=====

# 4
The following is a PBE-GGA calculation of an optimized crystal structure of Li2GaSi2Rh5, from the Alexandria database.

a b c (Å): 9.769 9.769 3.051
angles (deg): 90.00 90.00 90.00
Space group P4/mbm (No. 127)
Unique sites:
Li: 0.170 0.330 0.000
Ga: 0.000 0.000 0.000
Si: 0.133 0.633 0.000
Rh: 0.000 0.500 0.500
Rh: 0.071 0.801 0.500

## Properties
DFT total energy   -6.084 eV/atom
Total magnetic moment   0.00 μB/atom
Fermi-level density of states   0.356 states/eV/atom
ρ   7.5 g cm⁻³
Energy relative to the elements, uncorrected   -638 meV per atom

=====

# 5
The following is a PBE-GGA calculation of an optimized crystal structure of InAs2F2, from the Alexandria database.

a b c (Å): 4.595 4.595 9.013
angles (deg): 90.00 90.00 90.00
Space group I4/mmm (No. 139)
Unique sites:
In: 0.000 0.000 0.000
As: 0.000 0.000 0.373
F: 0.000 0.500 0.250

## Properties
Relative energy among the computed polymorphs   225 meV/atom
DFT total energy   -3.769 eV/atom
Total magnetic moment   0.00 μB/atom
Fermi-level density of states   0.434 states/eV/atom
ρ   5.3 g cm⁻³
Energy relative to the elements, uncorrected   -613 meV per atom

=====

# 6
The following is a PBE-GGA calculation of an optimized crystal structure of KRbIn2Cl8, from the Alexandria database.

a b c (Å): 7.070 7.070 16.137
angles (deg): 90.00 90.00 90.00
Space group I-4 (No. 82)
Unique sites:
K: 0.000 0.000 0.000
Rb: 0.000 0.500 0.250
In: 0.000 0.000 0.500
In: 0.000 0.500 0.750
Cl: 0.144 0.743 0.833
Cl: 0.153 0.242 0.420

## Properties
DFT total energy   -3.285 eV/atom
Total magnetic moment   0.00 μB/atom
Fermi-level density of states   0.000 states/eV/atom
ρ   2.6 g cm⁻³
Energy relative to the elements, uncorrected   -1426 meV per atom